## Al2CrSb (GGA-PBE)

Data for crystalline Al2CrSb at its relaxed geometry.

Results
formation energy without anion corrections = 296 meV per atom
M_tot = 2.22 μB per formula unit

Unit cell a=3.1766 b=3.1766 c=25.1771 alpha=90.00 beta=90.00 gamma=120.00
Last column: nearest neighbours and their distance in Å.
Space group R3m (No. 160, hexagonal axes)
Asymmetric unit:
Al 0.0000 0.0000 0.0000 x3  3 Al 2.81, 3 Sb 3.00
Al 0.0000 0.0000 0.2487 x3  3 Cr 2.63, 3 Al 2.81
Cr 0.0000 0.0000 0.5072 x3  3 Al 2.63, 3 Sb 2.71
Sb 0.0000 0.0000 0.7611 x3  3 Cr 2.71, 3 Al 3.00